Entry 1:
Rb2CdAuI, optimized geometry, DFT PBE; total energy = -2.1284 eV per atom; symmetry = P4/mmm, No. 123; density of states at the Fermi level = 1.12 states/eV/f.u.; density = 4.3 g cm⁻³; total magnetization = 0.00 μB per atom
1.0
6.579 0.000 0.000
0.000 6.579 0.000
0.000 0.000 5.395
Rb Cd Au I
2 1 1 1
Direct
0.000 0.500 0.000
0.500 0.000 0.000
0.000 0.000 0.500
0.000 0.000 0.000
0.500 0.500 0.500



Entry 2:
La2DyErSb4, optimized geometry, DFT PBE; total energy = -5.6287 eV per atom; symmetry = P2/m, No. 10; density of states at the Fermi level = 1.12 states/eV/f.u.; density = 7.1 g cm⁻³; total magnetization = 0.00 μB per atom
1.0
7.773 0.000 0.000
0.000 4.505 0.000
-2.608 0.000 7.350
La Dy Er Sb
2 1 1 4
Direct
0.000 0.000 0.000
0.000 0.500 0.500
0.500 0.000 0.500
0.500 0.500 0.000
0.264 0.500 0.254
0.265 0.000 0.756
0.735 0.000 0.244
0.736 0.500 0.746



Entry 3:
TiH3Br, optimized geometry, DFT PBE; total energy = -3.7708 eV per atom; symmetry = Pm-3m, No. 221; excess energy over the best structure of this formula in the dataset = 0 meV/atom; density of states at the Fermi level = 0.18 states/eV/f.u.; density = 4.2 g cm⁻³; total magnetization = 0.00 μB per atom
1.0
3.736 0.000 0.000
0.000 3.736 0.000
0.000 0.000 3.736
Ti H Br
1 3 1
Direct
0.000 0.000 0.000
0.000 0.000 0.500
0.000 0.500 0.000
0.500 0.000 0.000
0.500 0.500 0.500



Entry 4:
BaTl2Hg, optimized geometry, DFT PBE; total energy = -2.0469 eV per atom; symmetry = Immm, No. 71; excess energy over the best structure of this formula in the dataset = 25 meV/atom; energy of formation from the pure elements = -308 meV/atom; density of states at the Fermi level = 2.70 states/eV/f.u.; density = 9.1 g cm⁻³; total magnetization = 0.00 μB per atom
1.0
-2.594 5.367 9.813
2.594 -5.367 9.813
2.594 5.367 -9.813
Ba Tl Hg
4 8 4
Direct
0.206 0.206 0.000
0.245 0.000 0.245
0.755 0.000 0.755
0.794 0.794 0.000
0.073 0.573 0.500
0.169 0.813 0.355
0.416 0.416 0.000
0.458 0.813 0.645
0.542 0.187 0.355
0.584 0.584 0.000
0.831 0.187 0.645
0.927 0.427 0.500
0.082 0.349 0.732
0.383 0.651 0.732
0.617 0.349 0.268
0.918 0.651 0.268



Entry 5:
Dy4Pu3Te8, optimized geometry, DFT PBE; total energy = -7.0365 eV per atom; symmetry = C2/m, No. 12; density of states at the Fermi level = 34.34 states/eV/f.u.; density = 8.4 g cm⁻³; total magnetization = 1.18 μB per atom
1.0
6.183 -6.195 0.000
6.183 6.195 0.000
-6.168 0.000 6.205
Dy Pu Te
4 3 8
Direct
0.000 0.000 0.000
0.000 0.000 0.500
0.000 0.500 0.000
0.500 0.000 0.000
0.000 0.500 0.500
0.500 0.000 0.500
0.500 0.500 0.500
0.249 0.751 0.500
0.250 0.250 0.503
0.251 0.251 0.995
0.253 0.747 0.000
0.747 0.253 0.000
0.749 0.749 0.005
0.750 0.750 0.497
0.751 0.249 0.500



Entry 6:
ZrTe, optimized geometry, DFT PBE; total energy = -6.3834 eV per atom; symmetry = P2_12_12_1, No. 19; density of states at the Fermi level = 1.60 states/eV/f.u.; density = 6.4 g cm⁻³; total magnetization = 0.00 μB per atom
1.0
5.999 0.000 0.000
0.000 8.190 0.000
0.000 0.000 9.233
Zr Te
8 8
Direct
0.003 0.169 0.114
0.237 0.002 0.372
0.263 0.998 0.872
0.497 0.831 0.614
0.503 0.331 0.886
0.737 0.498 0.628
0.763 0.502 0.128
0.997 0.669 0.386
0.011 0.354 0.854
0.016 0.819 0.104
0.484 0.181 0.604
0.489 0.646 0.354
0.511 0.146 0.146
0.516 0.681 0.896
0.984 0.319 0.396
0.989 0.854 0.646



Entry 7:
La2SbAuCl, optimized geometry, DFT PBE; total energy = -4.2110 eV per atom; symmetry = P4/mmm, No. 123; density of states at the Fermi level = 3.01 states/eV/f.u.; density = 6.8 g cm⁻³; total magnetization = 0.00 μB per atom
1.0
5.470 0.000 0.000
0.000 5.470 0.000
0.000 0.000 5.144
La Sb Au Cl
2 1 1 1
Direct
0.000 0.500 0.000
0.500 0.000 0.000
0.000 0.000 0.500
0.500 0.500 0.500
0.000 0.000 0.000



Entry 8:
Cs2LiNpCl6, optimized geometry, DFT PBE; total energy = -4.6474 eV per atom; symmetry = Pmmn, No. 59; density of states at the Fermi level = 8.44 states/eV/f.u.; density = 3.9 g cm⁻³; total magnetization = 0.40 μB per atom
1.0
7.603 0.000 0.000
0.000 10.751 0.000
0.000 0.000 7.604
Cs Li Np Cl
4 2 2 12
Direct
0.250 0.000 0.250
0.250 0.500 0.250
0.750 0.000 0.750
0.750 0.500 0.750
0.250 0.250 0.749
0.750 0.750 0.251
0.250 0.750 0.750
0.750 0.250 0.250
0.004 0.250 0.503
0.004 0.250 0.996
0.250 0.004 0.750
0.250 0.496 0.750
0.496 0.250 0.503
0.496 0.250 0.996
0.504 0.750 0.004
0.504 0.750 0.497
0.750 0.504 0.250
0.750 0.996 0.250
0.996 0.750 0.004
0.996 0.750 0.497



Entry 9:
Sm3Ga3CoHg2, optimized geometry, DFT PBE; total energy = -3.9108 eV per atom; symmetry = P-62m, No. 189; energy of formation from the pure elements = -472 meV/atom; density of states at the Fermi level = 8.59 states/eV/f.u.; density = 9.3 g cm⁻³; total magnetization = 0.00 μB per atom
1.0
7.417 0.000 0.000
-3.709 6.424 0.000
0.000 0.000 4.211
Sm Ga Co Hg
3 3 1 2
Direct
0.000 0.625 0.000
0.375 0.375 0.000
0.625 0.000 0.000
0.000 0.215 0.500
0.215 0.000 0.500
0.785 0.785 0.500
0.000 0.000 0.000
0.333 0.667 0.500
0.667 0.333 0.500



Entry 10:
Pm6AgIr3, optimized geometry, DFT PBE; total energy = -6.2562 eV per atom; symmetry = Cmc2_1, No. 36; excess energy over the best structure of this formula in the dataset = 68 meV/atom; energy of formation from the pure elements = -462 meV/atom; density of states at the Fermi level = 7.17 states/eV/f.u.; density = 9.0 g cm⁻³; total magnetization = 0.00 μB per atom
1.0
5.508 -7.128 0.000
5.508 7.128 0.000
0.000 0.000 7.280
Pm Ag Ir
12 2 6
Direct
0.011 0.989 0.500
0.099 0.538 0.463
0.230 0.770 0.843
0.303 0.362 0.907
0.362 0.303 0.407
0.462 0.901 0.463
0.538 0.099 0.963
0.638 0.697 0.907
0.697 0.638 0.407
0.770 0.230 0.343
0.901 0.462 0.963
0.989 0.011 0.000
0.172 0.828 0.232
0.828 0.172 0.732
0.073 0.292 0.206
0.292 0.073 0.706
0.400 0.600 0.625
0.600 0.400 0.125
0.708 0.927 0.206
0.927 0.708 0.706



Question: Number 4 is which compound?
Answer: BaTl2Hg



Repeat the ninth record exactly.
Sm3Ga3CoHg2, optimized geometry, DFT PBE; total energy = -3.9108 eV per atom; symmetry = P-62m, No. 189; energy of formation from the pure elements = -472 meV/atom; density of states at the Fermi level = 8.59 states/eV/f.u.; density = 9.3 g cm⁻³; total magnetization = 0.00 μB per atom
1.0
7.417 0.000 0.000
-3.709 6.424 0.000
0.000 0.000 4.211
Sm Ga Co Hg
3 3 1 2
Direct
0.000 0.625 0.000
0.375 0.375 0.000
0.625 0.000 0.000
0.000 0.215 0.500
0.215 0.000 0.500
0.785 0.785 0.500
0.000 0.000 0.000
0.333 0.667 0.500
0.667 0.333 0.500



Question: Which of these has the highest density?
Answer: Sm3Ga3CoHg2



Question: Among the records above, which one has the highest density of states at the Fermi level?
Answer: Dy4Pu3Te8